A relaxed structure of FeNi3S, computed with PBE.

Output
Total magnetization, μB/f.u.: 5.52
ΔE_f (raw), eV/atom: 1.1402

abc: 4.308 4.308 4.308
angles: 90.00 90.00 90.00
Fractional coordinates of all 5 atoms:
1 Fe 0.000 0.000 0.000
2 Ni 0.000 0.000 0.500
3 Ni 0.000 0.500 0.000
4 Ni 0.500 0.000 0.000
5 S 0.500 0.500 0.500

A relaxed structure of CeMoH6, computed with PBE.

Output
Total magnetization, μB/f.u.: 1.78
Raw total energy, eV/cell: -36.88

abc: 5.169 5.169 5.169
angles: 49.13 49.13 49.13
Fractional coordinates of all 8 atoms:
1 Ce 0.000 0.000 0.000
2 Mo 0.500 0.500 0.500
3 H 0.060 0.579 0.579
4 H 0.421 0.421 0.940
5 H 0.421 0.940 0.421
6 H 0.579 0.060 0.579
7 H 0.579 0.579 0.060
8 H 0.940 0.421 0.421

A relaxed structure of Rb2TiCuS4, computed with PBE.

Output
Total magnetization, μB/f.u.: 0.01
ΔE_f (raw), eV/atom: -1.0652

abc: 13.955 12.503 7.372
angles: 85.05 63.20 31.75
Fractional coordinates of all 16 atoms:
1 Rb 0.052 0.052 0.698
2 Rb 0.302 0.302 0.948
3 Rb 0.698 0.698 0.052
4 Rb 0.948 0.948 0.302
5 Ti 0.125 0.125 0.125
6 Ti 0.875 0.875 0.875
7 Cu 0.375 0.375 0.375
8 Cu 0.625 0.625 0.625
9 S 0.026 0.327 0.412
10 S 0.266 0.588 0.673
11 S 0.327 0.026 0.734
12 S 0.412 0.734 0.026
13 S 0.588 0.266 0.974
14 S 0.673 0.974 0.266
15 S 0.734 0.412 0.327
16 S 0.974 0.673 0.588

A relaxed structure of Be2SiNi, computed with PBE.

Output
Total magnetization, μB/f.u.: 0.00
ΔE_f (raw), eV/atom: -0.0078

abc: 2.525 2.525 6.303
angles: 90.00 90.00 90.00
Fractional coordinates of all 4 atoms:
1 Be 0.000 0.000 0.000
2 Be 0.500 0.500 0.227
3 Si 0.500 0.500 0.720
4 Ni 0.000 0.000 0.460

A relaxed structure of Pr12Y6Tm, computed with PBE.

Output
Total magnetization, μB/f.u.: 0.00
ΔH_f (0 K), eV per formula unit: 6.0

abc: 9.897 9.897 9.897
angles: 111.75 111.75 111.75
Fractional coordinates of all 19 atoms:
1 Pr 0.000 0.379 0.621
2 Pr 0.000 0.621 0.379
3 Pr 0.226 0.226 0.585
4 Pr 0.226 0.585 0.226
5 Pr 0.379 0.000 0.621
6 Pr 0.379 0.621 0.000
7 Pr 0.415 0.774 0.774
8 Pr 0.585 0.226 0.226
9 Pr 0.621 0.000 0.379
10 Pr 0.621 0.379 0.000
11 Pr 0.774 0.415 0.774
12 Pr 0.774 0.774 0.415
13 Y 0.023 0.774 0.774
14 Y 0.226 0.226 0.977
15 Y 0.226 0.977 0.226
16 Y 0.774 0.023 0.774
17 Y 0.774 0.774 0.023
18 Y 0.977 0.226 0.226
19 Tm 0.500 0.500 0.500

A relaxed structure of FeNi3Cl, computed with PBE.

Output
Total magnetization, μB/f.u.: 5.10
ΔE_f (raw), eV/atom: 1.0881

abc: 4.394 4.394 4.394
angles: 90.00 90.00 90.00
Fractional coordinates of all 5 atoms:
1 Fe 0.000 0.000 0.000
2 Ni 0.000 0.000 0.500
3 Ni 0.000 0.500 0.000
4 Ni 0.500 0.000 0.000
5 Cl 0.500 0.500 0.500